Record 1
This record from the Alexandria database describes a geometry-optimized TiAl2Ni2 structure. The functional is PBE.

The structure in POSCAR format:
```
TiAl2Ni2
1.0
-0.7375 3.9295 -5.8282
0.8347 -5.7697 -3.9957
-2.6471 -0.4192 0.0523
Ni Al Ti
4 4 2
direct
0.3665 0.8665 0.0000
0.6335 0.1335 0.0000
0.8665 0.6335 0.0000
0.1335 0.3665 0.0000
0.3389 0.1611 0.5000
0.6611 0.8389 0.5000
0.8389 0.3389 0.5000
0.1611 0.6611 0.5000
0.0000 0.0000 0.0000
0.5000 0.5000 0.0000
```

Results
ρ = 5.44 Mg/m³
offset from the most stable computed form = 0 meV per atom
formation energy = -0.50 eV per atom
magnetization = 0.00 μB/f.u.
symmetry = P4/mbm


Record 2
This record from the Alexandria database describes a geometry-optimized TiAl4Ni5 structure. The functional is PBE.

The structure in POSCAR format:
```
TiAl4Ni5
1.0
-1.6861 1.9301 -1.3618
0.8272 -1.0848 -2.5616
-11.2267 -9.5209 0.4064
Ni Al Ti
5 4 1
direct
0.5000 0.5000 0.1103
0.5000 0.5000 0.6935
0.5000 0.5000 0.5000
0.5000 0.5000 0.3065
0.5000 0.5000 0.8897
0.0000 0.0000 0.2078
0.0000 0.0000 0.4030
0.0000 0.0000 0.7922
0.0000 0.0000 0.5970
0.0000 0.0000 0.0000
```

Results
ρ = 6.01 Mg/m³
formation energy = -0.60 eV per atom
magnetization = 0.02 μB/f.u.
symmetry = P4/mmm


Record 3
This record from the Alexandria database describes a geometry-optimized Ti6Al16Ni7 structure. The functional is PBE.

The structure in POSCAR format:
```
Ti6Al16Ni7
1.0
-5.1544 6.5433 -0.7129
-8.1288 -0.8724 1.7468
-3.2089 3.5592 6.8503
Al Ti Ni
16 6 7
direct
0.3809 0.3809 0.3809
0.8378 0.4867 0.8378
0.6191 0.6191 0.6191
0.8378 0.8378 0.4867
0.5133 0.1622 0.1622
0.3809 0.8573 0.3809
0.1622 0.1622 0.1622
0.8378 0.8378 0.8378
0.4867 0.8378 0.8378
0.8573 0.3809 0.3809
0.1622 0.1622 0.5133
0.6191 0.6191 0.1427
0.3809 0.3809 0.8573
0.6191 0.1427 0.6191
0.1622 0.5133 0.1622
0.1427 0.6191 0.6191
0.1812 0.1812 0.8188
0.1812 0.8188 0.1812
0.8188 0.1812 0.1812
0.8188 0.8188 0.1812
0.1812 0.8188 0.8188
0.8188 0.1812 0.8188
0.0000 0.0000 0.5000
0.0000 0.5000 0.5000
0.0000 0.5000 0.0000
0.5000 0.0000 0.0000
0.5000 0.0000 0.5000
0.5000 0.5000 0.5000
0.5000 0.5000 0.0000
```

Results
ρ = 4.54 Mg/m³
formation energy = -0.57 eV per atom
magnetization = 0.00 μB/f.u.
symmetry = Fm-3m